4
Lattice="9.546 -1.428 0.007 9.546 1.428 0.007 9.331 0.000 2.471" Properties=species:S:1:pos:R:3 comment="Ta2RhW, optimized geometry, DFT GGA-PBE" delta_e_f_ev_per_atom=0.0463 space_group=R-3m n_ef_per_ev_atom=0.762 dft_energy_ev_per_atom=-10.956 pbc="T T T"
Ta 21.200 0.000 1.853
Ta 7.224 0.000 0.631
W 14.212 0.000 1.242
Rh 0.000 0.000 0.000